DyAgHg2 | GGA-PBEsol | optimized geometry

CIF file:
```
data_DyAgHg2
_chemical_formula_sum 'Dy4 Ag4 Hg8'
_cell_length_a 6.930
_cell_length_b 6.930
_cell_length_c 6.930
_cell_angle_alpha 90.00
_cell_angle_beta 90.00
_cell_angle_gamma 90.00
_space_group_name_H-M_alt 'F m -3 m'
_space_group_IT_number 225
_space_group_name_Hall '-F 4 2 3'
loop_
_atom_site_label
_atom_site_type_symbol
_atom_site_fract_x
_atom_site_fract_y
_atom_site_fract_z
Dy1 Dy 0.000 0.000 0.000
Ag1 Ag 0.000 0.000 0.500
Hg1 Hg 0.250 0.250 0.250
```

Properties
Calculated formation energy in kJ/mol of atoms: -42

DyInAg2 | GGA-PBEsol | optimized geometry

CIF file:
```
data_DyInAg2
_chemical_formula_sum 'Dy4 In4 Ag8'
_cell_length_a 6.853
_cell_length_b 6.853
_cell_length_c 6.853
_cell_angle_alpha 90.00
_cell_angle_beta 90.00
_cell_angle_gamma 90.00
_space_group_name_H-M_alt 'F m -3 m'
_space_group_IT_number 225
_space_group_name_Hall '-F 4 2 3'
loop_
_atom_site_label
_atom_site_type_symbol
_atom_site_fract_x
_atom_site_fract_y
_atom_site_fract_z
Dy1 Dy 0.000 0.000 0.000
In1 In 0.000 0.000 0.500
Ag1 Ag 0.250 0.250 0.250
```

Properties
Calculated formation energy in kJ/mol of atoms: -39

DyAgSb2 | GGA-PBEsol | optimized geometry

CIF file:
```
data_DyAgSb2
_chemical_formula_sum 'Dy2 Ag2 Sb4'
_cell_length_a 4.289
_cell_length_b 4.289
_cell_length_c 10.125
_cell_angle_alpha 90.00
_cell_angle_beta 90.00
_cell_angle_gamma 90.00
_space_group_name_H-M_alt 'P 4/n m m'
_space_group_IT_number 129
loop_
_space_group_symop_operation_xyz
'x,y,z'
'-x,-y,-z'
'-y+1/2,x,z'
'y+1/2,-x,-z'
'-x+1/2,-y+1/2,z'
'x+1/2,y+1/2,-z'
'y,-x+1/2,z'
'-y,x+1/2,-z'
'x+1/2,-y,-z'
'-x+1/2,y,z'
'-y,-x,-z'
'y,x,z'
'-x,y+1/2,-z'
'x,-y+1/2,z'
'y+1/2,x+1/2,-z'
'-y+1/2,-x+1/2,z'
loop_
_atom_site_label
_atom_site_type_symbol
_atom_site_fract_x
_atom_site_fract_y
_atom_site_fract_z
Dy1 Dy 0.250 0.250 0.238
Ag1 Ag 0.250 0.750 0.500
Sb1 Sb 0.250 0.250 0.685
Sb2 Sb 0.250 0.750 0.000
```

Properties
E_form (uncorrected) in eV per atom: -0.6614

DyAgSe2 | GGA-PBEsol | optimized geometry

CIF file:
```
data_DyAgSe2
_chemical_formula_sum 'Dy4 Ag4 Se8'
_cell_length_a 4.213
_cell_length_b 6.598
_cell_length_c 13.571
_cell_angle_alpha 90.00
_cell_angle_beta 90.00
_cell_angle_gamma 90.00
_space_group_name_H-M_alt 'P 21 21 21'
_space_group_IT_number 19
loop_
_space_group_symop_operation_xyz
'x,y,z'
'-x+1/2,-y,z+1/2'
'x+1/2,-y+1/2,-z'
'-x,y+1/2,-z+1/2'
loop_
_atom_site_label
_atom_site_type_symbol
_atom_site_fract_x
_atom_site_fract_y
_atom_site_fract_z
Dy1 Dy 0.204 0.204 0.375
Ag1 Ag 0.004 0.708 0.367
Se1 Se 0.207 0.088 0.726
Se2 Se 0.216 0.502 0.525
```

Properties
E_form (uncorrected) in eV per atom: -1.1951

DyAgSn2 | GGA-PBEsol | optimized geometry

CIF file:
```
data_DyAgSn2
_chemical_formula_sum 'Dy1 Ag1 Sn2'
_cell_length_a 4.559
_cell_length_b 4.559
_cell_length_c 4.297
_cell_angle_alpha 90.00
_cell_angle_beta 90.00
_cell_angle_gamma 90.00
_space_group_name_H-M_alt 'P 4/m m m'
_space_group_IT_number 123
_space_group_name_Hall '-P 4 2'
loop_
_atom_site_label
_atom_site_type_symbol
_atom_site_fract_x
_atom_site_fract_y
_atom_site_fract_z
Dy1 Dy 0.000 0.000 0.000
Ag1 Ag 0.500 0.500 0.000
Sn1 Sn 0.000 0.500 0.500
```

Properties
Calculated formation energy in kJ/mol of atoms: -47

DyAgTe2 | GGA-PBEsol | optimized geometry

CIF file:
```
data_DyAgTe2
_chemical_formula_sum 'Dy2 Ag2 Te4'
_cell_length_a 6.903
_cell_length_b 6.903
_cell_length_c 4.695
_cell_angle_alpha 90.00
_cell_angle_beta 90.00
_cell_angle_gamma 90.00
_space_group_name_H-M_alt 'P -4 21 m'
_space_group_IT_number 113
loop_
_space_group_symop_operation_xyz
'x,y,z'
'y,-x,-z'
'-x,-y,z'
'-y,x,-z'
'x+1/2,-y+1/2,-z'
'y+1/2,x+1/2,z'
'-x+1/2,y+1/2,-z'
'-y+1/2,-x+1/2,z'
loop_
_atom_site_label
_atom_site_type_symbol
_atom_site_fract_x
_atom_site_fract_y
_atom_site_fract_z
Dy1 Dy 0.000 0.500 0.178
Ag1 Ag 0.000 0.000 0.000
Te1 Te 0.203 0.297 0.698
```

Properties
E_form (uncorrected) in eV per atom: -0.8878

DyAgTe2 | GGA-PBEsol | optimized geometry

CIF file:
```
data_DyAgTe2
_chemical_formula_sum 'Dy1 Ag1 Te2'
_cell_length_a 4.4312
_cell_length_b 4.4312
_cell_length_c 7.1032
_cell_angle_alpha 90.00
_cell_angle_beta 90.00
_cell_angle_gamma 120.00
_space_group_name_H-M_alt 'P 3 m 1'
_space_group_IT_number 156
loop_
_space_group_symop_operation_xyz
'x,y,z'
'-y,x-y,z'
'-x+y,-x,z'
'-y,-x,z'
'-x+y,y,z'
'x,x-y,z'
loop_
_atom_site_label
_atom_site_type_symbol
_atom_site_fract_x
_atom_site_fract_y
_atom_site_fract_z
Dy1 Dy 0.0000 0.0000 0.0000
Ag1 Ag 0.6667 0.3333 0.3891
Te1 Te 0.3333 0.6667 0.2487
Te2 Te 0.6667 0.3333 0.7728
```

Properties
E_form (uncorrected) in eV per atom: -0.8553

Dy2ZnAg | GGA-PBEsol | optimized geometry

CIF file:
```
data_Dy2ZnAg
_chemical_formula_sum 'Dy8 Zn4 Ag4'
_cell_length_a 7.074
_cell_length_b 7.074
_cell_length_c 7.074
_cell_angle_alpha 90.00
_cell_angle_beta 90.00
_cell_angle_gamma 90.00
_space_group_name_H-M_alt 'F m -3 m'
_space_group_IT_number 225
_space_group_name_Hall '-F 4 2 3'
loop_
_atom_site_label
_atom_site_type_symbol
_atom_site_fract_x
_atom_site_fract_y
_atom_site_fract_z
Dy1 Dy 0.250 0.250 0.250
Zn1 Zn 0.000 0.000 0.000
Ag1 Ag 0.000 0.000 0.500
```

Properties
Calculated formation energy in kJ/mol of atoms: -31

Er14Ag51 | GGA-PBEsol | optimized geometry

CIF file:
```
data_Er14Ag51
_chemical_formula_sum 'Er14 Ag51'
_cell_length_a 12.4385
_cell_length_b 12.4385
_cell_length_c 9.1163
_cell_angle_alpha 90.00
_cell_angle_beta 90.00
_cell_angle_gamma 120.00
_space_group_name_H-M_alt 'P -6'
_space_group_IT_number 174
loop_
_space_group_symop_operation_xyz
'x,y,z'
'-x+y,-x,-z'
'-y,x-y,z'
'x,y,-z'
'-x+y,-x,z'
'-y,x-y,-z'
loop_
_atom_site_label
_atom_site_type_symbol
_atom_site_fract_x
_atom_site_fract_y
_atom_site_fract_z
Er1 Er 0.0000 0.0000 0.1923
Er2 Er 0.1127 0.3987 0.5000
Er3 Er 0.1382 0.6731 0.0000
Er4 Er 0.3848 0.2700 0.5000
Er5 Er 0.4698 0.1395 0.0000
Ag1 Ag 0.0601 0.2407 0.0000
Ag2 Ag 0.0737 0.8156 0.2757
Ag3 Ag 0.1053 0.4422 0.1671
Ag4 Ag 0.1163 0.6267 0.3467
Ag5 Ag 0.1274 0.0008 0.5000
Ag6 Ag 0.2347 0.1781 0.0000
Ag7 Ag 0.2728 0.0784 0.2570
Ag8 Ag 0.3333 0.6667 0.1942
Ag9 Ag 0.3333 0.6667 0.5000
Ag10 Ag 0.4369 0.3335 0.1663
Ag11 Ag 0.4977 0.1149 0.3482
Ag12 Ag 0.6667 0.3333 0.1945
Ag13 Ag 0.6667 0.3333 0.5000
```

Properties
Calculated formation energy in kJ/mol of atoms: -24

ErGaAg | GGA-PBEsol | optimized geometry

CIF file:
```
data_ErGaAg
_chemical_formula_sum 'Er4 Ga4 Ag4'
_cell_length_a 10.260
_cell_length_b 4.449
_cell_length_c 6.960
_cell_angle_alpha 90.00
_cell_angle_beta 131.64
_cell_angle_gamma 90.00
_space_group_name_H-M_alt 'C 1 2/m 1'
_space_group_IT_number 12
loop_
_space_group_symop_operation_xyz
'x,y,z'
'-x,-y,-z'
'-x,y,-z'
'x,-y,z'
'x+1/2,y+1/2,z'
'-x+1/2,-y+1/2,-z'
'-x+1/2,y+1/2,-z'
'x+1/2,-y+1/2,z'
loop_
_atom_site_label
_atom_site_type_symbol
_atom_site_fract_x
_atom_site_fract_y
_atom_site_fract_z
Er1 Er 0.035 0.000 0.292
Ga1 Ga 0.159 0.500 0.117
Ag1 Ag 0.173 0.500 0.720
```

Properties
Calculated formation energy in kJ/mol of atoms: -50

Er2AgHg | GGA-PBEsol | optimized geometry

CIF file:
```
data_Er2AgHg
_chemical_formula_sum 'Er8 Ag4 Hg4'
_cell_length_a 7.155
_cell_length_b 7.155
_cell_length_c 7.155
_cell_angle_alpha 90.00
_cell_angle_beta 90.00
_cell_angle_gamma 90.00
_space_group_name_H-M_alt 'F m -3 m'
_space_group_IT_number 225
_space_group_name_Hall '-F 4 2 3'
loop_
_atom_site_label
_atom_site_type_symbol
_atom_site_fract_x
_atom_site_fract_y
_atom_site_fract_z
Er1 Er 0.250 0.250 0.250
Ag1 Ag 0.000 0.000 0.000
Hg1 Hg 0.000 0.000 0.500
```

Properties
Calculated formation energy in kJ/mol of atoms: -45

ErAgHg2 | GGA-PBEsol | optimized geometry

CIF file:
```
data_ErAgHg2
_chemical_formula_sum 'Er4 Ag4 Hg8'
_cell_length_a 6.898
_cell_length_b 6.898
_cell_length_c 6.898
_cell_angle_alpha 90.00
_cell_angle_beta 90.00
_cell_angle_gamma 90.00
_space_group_name_H-M_alt 'F m -3 m'
_space_group_IT_number 225
_space_group_name_Hall '-F 4 2 3'
loop_
_atom_site_label
_atom_site_type_symbol
_atom_site_fract_x
_atom_site_fract_y
_atom_site_fract_z
Er1 Er 0.000 0.000 0.000
Ag1 Ag 0.000 0.000 0.500
Hg1 Hg 0.250 0.250 0.250
```

Properties
Calculated formation energy in kJ/mol of atoms: -40